Compound: La2NiO4
Source: Alexandria via LeMat-Bulk
Functional: PBEsol
Structure: relaxed

Output
- electronic total energy (Ry/atom) = -0.592
- formation energy from raw total energies (eV per formula unit) = -18.5

a b c (Å): 6.9264 6.9264 5.3409
angles (deg): 90.00 90.00 135.14
With the nearest neighbours (Å) after each atom.
Fractional coordinates of all 14 atoms:
La1 0.1371 0.8629 0.9935  6 O 2.34-2.60
La2 0.3629 0.6371 0.4935  6 O 2.34-2.60
La3 0.6371 0.3629 0.5065  6 O 2.34-2.60
La4 0.8629 0.1371 0.0065  6 O 2.34-2.60
Ni1 0.0000 0.0000 0.5000  4 O 1.88
Ni2 0.5000 0.5000 0.0000  4 O 1.88
O1 0.1807 0.8193 0.5273  1 Ni 2.32, 2 La 2.34-2.55
O2 0.2443 0.2557 0.7500  2 Ni 1.88
O3 0.2557 0.2443 0.2500  2 Ni 1.88
O4 0.3193 0.6807 0.0273  1 Ni 2.32, 2 La 2.34-2.55
O5 0.6807 0.3193 0.9727  1 Ni 2.32, 2 La 2.34-2.55
O6 0.7443 0.7557 0.7500  2 Ni 1.88
O7 0.7557 0.7443 0.2500  2 Ni 1.88
O8 0.8193 0.1807 0.4727  1 Ni 2.32, 2 La 2.34-2.55

***

Compound: MnSbI2F
Source: Alexandria via LeMat-Bulk
Functional: PBEsol
Structure: relaxed

Output
- energy relative to the lowest polymorph listed for this composition (eV/atom) = 0.070
- electronic total energy (Ry/atom) = -0.284
- formation energy from raw total energies (eV per formula unit) = 0.5

a b c (Å): 5.6961 5.6961 4.1988
angles (deg): 90.00 90.00 90.00
With the nearest neighbours (Å) after each atom.
Fractional coordinates of all 5 atoms:
Mn1 0.0000 0.0000 0.0000  8 I 3.54
Sb1 0.5000 0.5000 0.0000  2 F 2.10
I1 0.0000 0.5000 0.5000  2 F 2.85
I2 0.5000 0.0000 0.5000  2 F 2.85
F1 0.5000 0.5000 0.5000  2 Sb 2.10

***

Compound: Co2PtPb
Source: Alexandria via LeMat-Bulk
Functional: PBEsol
Structure: relaxed

Output
- calculated formation energy (eV per atom) = 0.407
- electronic total energy (Ry/atom) = -0.456

a b c (Å): 4.3779 4.3779 4.3779
angles (deg): 60.00 60.00 60.00
With the nearest neighbours (Å) after each atom.
Fractional coordinates of all 4 atoms:
Co1 0.0000 0.0000 0.0000  4 Pb 2.68, 4 Co 2.68
Co2 0.2500 0.2500 0.2500  4 Pt 2.68, 4 Co 2.68
Pt1 0.5000 0.5000 0.5000  4 Pb 2.68, 4 Co 2.68
Pb1 0.7500 0.7500 0.7500  4 Co 2.68, 4 Pt 2.68

***

Compound: IrAuCl
Source: Alexandria via LeMat-Bulk
Functional: PBEsol
Structure: relaxed

Output
- electronic total energy (Ry/atom) = -0.329
- formation energy from raw total energies (eV per formula unit) = 2.3

a b c (Å): 6.4825 6.4825 6.4825
angles (deg): 154.45 154.45 36.45
With the nearest neighbours (Å) after each atom.
Fractional coordinates of all 3 atoms:
Ir1 0.0000 0.0000 0.0000  4 Cl 2.62, 4 Au 2.79, 4 Ir 2.87
Au1 0.6559 0.6559 0.0000  4 Ir 2.79, 4 Au 2.87
Cl1 0.3651 0.3651 0.0000  4 Ir 2.62, 4 Cl 2.87